Li2CaHg2: relaxed, GGA-PBE.

Calculated values
V, Å³ per cell: 116.33
SG: I4/mmm, No. 139
Electronic total energy, eV per atom: -1.658
Fermi-level density of states, states/eV/f.u.: 3.0

Cell lengths 4.1535, 4.1535, 7.3551 Å; angles 73.60, 73.60, 90.00 degrees
Atoms (fractional coordinates):
1 Ca 0.0000 0.0000 0.0000
2 Hg 0.3877 0.3877 0.2247
3 Hg 0.6123 0.6123 0.7753
4 Li 0.7500 0.2500 0.5000
5 Li 0.2500 0.7500 0.5000